The following is a PBE calculation of an optimized crystal structure of CaPm3, from Alexandria via LeMat-Bulk.

abc: 5.8674 5.8674 5.8674
angles: 60.00 60.00 60.00
Last column: nearest neighbours and their distance in Å.
Atoms (fractional coordinates):
Ca 0.0000 0.0000 0.0000  8 Pm 3.59
Pm 0.2500 0.2500 0.2500  4 Ca 3.59, 4 Pm 3.59
Pm 0.5000 0.5000 0.5000  8 Pm 3.59
Pm 0.7500 0.7500 0.7500  4 Ca 3.59, 4 Pm 3.59

## Properties
- Mass density: 5.52 g/cm³
- SG: No. 225
- Total DFT energy (no corrections): -15.70 eV for the cell shown
- Crystal system: cubic
- Formation enthalpy at 0 K: 0.1386 eV per atom
- V: 35.71 Å³/atom